No. 1
# K2PuAgF6 | the Alexandria database | PBE | optimized geometry
data_K2PuAgF6
_cell_length_a 6.397
_cell_length_b 6.547
_cell_length_c 9.182
_cell_angle_alpha 90.00
_cell_angle_beta 87.36
_cell_angle_gamma 90.00
_space_group_name_H-M_alt 'P 1'
_space_group_IT_number 1
_space_group_name_Hall 'P 1'
loop_
_atom_site_label
_atom_site_fract_x
_atom_site_fract_y
_atom_site_fract_z
K1 0.024 0.950 0.258
K2 0.524 0.550 0.758
K3 0.976 0.050 0.742
K4 0.476 0.450 0.242
Pu1 0.500 0.000 0.500
Pu2 0.000 0.500 0.000
Ag1 0.500 0.000 0.000
Ag2 0.000 0.500 0.500
F1 0.285 0.696 0.053
F2 0.785 0.804 0.553
F3 0.715 0.304 0.947
F4 0.215 0.196 0.447
F5 0.307 0.727 0.427
F6 0.807 0.773 0.927
F7 0.693 0.273 0.573
F8 0.193 0.227 0.073
F9 0.881 0.560 0.233
F10 0.381 0.940 0.733
F11 0.119 0.440 0.767
F12 0.619 0.060 0.267
# - space-group type = No. 14
# - density of states at the Fermi level (states/eV/f.u.) = 5.9
# - theoretical density (kg/m³) = 4704
# - formation energy without anion corrections (eV per formula unit) = -27.41
# - total moment (μB/atom) = 0.500

---

No. 2
# TbU3S4 | the Alexandria database | PBE | optimized geometry
data_TbU3S4
_cell_length_a 3.856
_cell_length_b 6.727
_cell_length_c 6.727
_cell_angle_alpha 109.05
_cell_angle_beta 90.00
_cell_angle_gamma 90.00
_space_group_name_H-M_alt 'P 1'
_space_group_IT_number 1
_space_group_name_Hall 'P 1'
loop_
_atom_site_label
_atom_site_fract_x
_atom_site_fract_y
_atom_site_fract_z
U1 0.000 0.000 0.500
U2 0.500 0.500 0.500
U3 0.000 0.500 0.000
S1 0.000 0.250 0.250
S2 0.500 0.750 0.250
S3 0.000 0.750 0.750
S4 0.500 0.250 0.750
Tb1 0.500 0.000 0.000
# - space-group type = No. 65
# - density of states at the Fermi level (states/eV/f.u.) = 12.2
# - theoretical density (kg/m³) = 10079
# - formation energy without anion corrections (eV per formula unit) = -12.20
# - total moment (μB/atom) = 0.869

---

Question: Which of these has the highest density of states at the Fermi level?
Answer: TbU3S4

---

Repeat the second record exactly.
# TbU3S4 | the Alexandria database | PBE | optimized geometry
data_TbU3S4
_cell_length_a 3.856
_cell_length_b 6.727
_cell_length_c 6.727
_cell_angle_alpha 109.05
_cell_angle_beta 90.00
_cell_angle_gamma 90.00
_space_group_name_H-M_alt 'P 1'
_space_group_IT_number 1
_space_group_name_Hall 'P 1'
loop_
_atom_site_label
_atom_site_fract_x
_atom_site_fract_y
_atom_site_fract_z
U1 0.000 0.000 0.500
U2 0.500 0.500 0.500
U3 0.000 0.500 0.000
S1 0.000 0.250 0.250
S2 0.500 0.750 0.250
S3 0.000 0.750 0.750
S4 0.500 0.250 0.750
Tb1 0.500 0.000 0.000
# - space-group type = No. 65
# - density of states at the Fermi level (states/eV/f.u.) = 12.2
# - theoretical density (kg/m³) = 10079
# - formation energy without anion corrections (eV per formula unit) = -12.20
# - total moment (μB/atom) = 0.869

---

Question: Which formula does entry 2 have?
Answer: TbU3S4

---

Question: What is the density of states at the Fermi level in the first record?
Answer: 5.9 states/eV/f.u.